No. 1
## Pm7Sm3Sc (PBE-GGA)

Data for Pm7Sm3Sc after structural relaxation.

a b c (Å): 19.3267 7.1084 12.6865
angles (deg): 90.00 117.46 90.00
With the nearest neighbours (Å) after each atom.
Space group C2/c (No. 15)
One atom of each set of equivalent atoms:
Pm1 0.0000 0.1829 0.2500  2 Sc 3.43, 2 Sm 3.47, 4 Pm 3.54-3.69
Pm2 0.1582 0.4980 0.2742  4 Sm 3.41-3.58, 7 Pm 3.59-3.74
Pm3 0.1627 0.2406 0.0200  6 Pm 3.48-3.74, 1 Sc 3.48, 4 Sm 3.54-3.67
Pm4 0.1671 0.2486 0.5264  7 Pm 3.48-3.70, 4 Sm 3.50-3.75, 1 Sc 3.56
Sm1 0.0000 0.5000 0.0000  6 Pm 3.41-3.57, 2 Sc 3.55
Sm2 0.1718 0.0027 0.7697  10 Pm 3.47-3.75, 1 Sc 3.50
Sc1 0.0000 0.0000 0.0000  6 Pm 3.43-3.56, 4 Sm 3.50-3.55

Output
formation energy	193	meV per atom
spin magnetization	0.00	μB per atom

No. 2
## Cd7AgPd2 (PBE-GGA)

Data for Cd7AgPd2 after structural relaxation.

a b c (Å): 7.9031 13.1781 4.9514
angles (deg): 90.00 90.00 90.00
With the nearest neighbours (Å) after each atom.
Space group Cmmm (No. 65)
One atom of each set of equivalent atoms:
Cd1 0.0000 0.0000 0.0000  2 Pd 2.72, 4 Cd 2.90
Cd2 0.0000 0.2771 0.5000  2 Pd 2.64, 1 Ag 2.94
Cd3 0.1879 0.3845 0.0000  2 Pd 2.74-2.78, 3 Cd 2.90-3.04
Ag1 0.0000 0.5000 0.5000  10 Cd 2.94-3.26
Pd1 0.0000 0.2065 0.0000  7 Cd 2.64-2.78

Output
formation energy	-4	meV per atom
spin magnetization	0.00	μB per atom

No. 3
## Cs2LiFeBr6 (PBE-GGA)

Data for Cs2LiFeBr6 after structural relaxation.

a b c (Å): 7.6610 7.6610 6.4714
angles (deg): 90.00 90.00 120.00
With the nearest neighbours (Å) after each atom.
Space group P-3m1 (No. 164)
One atom of each set of equivalent atoms:
Cs1 0.3333 0.6667 0.2339  12 Br 3.82-4.27
Li1 0.0000 0.0000 0.5000  6 Br 2.69
Fe1 0.0000 0.0000 0.0000  6 Br 2.47
Br1 0.1511 0.3022 0.7777  1 Fe 2.47, 1 Li 2.69

Output
formation energy from raw total energies	-1.16	eV/atom
spin magnetization	0.10	μB per atom

No. 4
## Mg3Tc (PBE-GGA)

Data for Mg3Tc after structural relaxation.

a b c (Å): 4.1617 4.1617 4.1617
angles (deg): 90.00 90.00 90.00
With the nearest neighbours (Å) after each atom.
Space group Pm-3m (No. 221)
One atom of each set of equivalent atoms:
Mg1 0.0000 0.0000 0.5000  4 Tc 2.94, 8 Mg 2.94
Tc1 0.5000 0.5000 0.5000  12 Mg 2.94

Output
formation energy	201	meV per atom
spin magnetization	0.20	μB per atom

No. 5
## TmAgTe4Pb2 (PBE-GGA)

Data for TmAgTe4Pb2 after structural relaxation.

a b c (Å): 7.7406 4.4597 7.8388
angles (deg): 90.00 109.62 90.00
With the nearest neighbours (Å) after each atom.
Space group P2/m (No. 10)
One atom of each set of equivalent atoms:
Tm1 0.0000 0.0000 0.0000  6 Te 3.07-3.08
Ag1 0.5000 0.5000 0.0000  6 Te 3.05-3.13
Te1 0.2403 0.5000 0.2312  2 Tm 3.07, 1 Ag 3.13, 3 Pb 3.25-3.26
Te2 0.2592 0.0000 0.7762  2 Ag 3.05, 1 Tm 3.08, 3 Pb 3.28-3.30
Pb1 0.0000 0.5000 0.5000  6 Te 3.25-3.28
Pb2 0.5000 0.0000 0.5000  6 Te 3.26-3.30

Output
formation energy from raw total energies	-0.58	eV/atom
spin magnetization	0.00	μB per atom

No. 6
## MgCuTc2 (PBE-GGA)

Data for MgCuTc2 after structural relaxation.

a b c (Å): 2.6063 2.6063 8.6000
angles (deg): 90.00 90.00 90.00
With the nearest neighbours (Å) after each atom.
Space group P4/mmm (No. 123)
One atom of each set of equivalent atoms:
Mg1 0.0000 0.0000 0.0000  4 Mg 2.61
Cu1 0.0000 0.0000 0.5000  4 Cu 2.61, 8 Tc 2.74
Tc1 0.5000 0.5000 0.2640  4 Tc 2.61, 4 Cu 2.74

Output
formation energy	278	meV per atom
spin magnetization	0.00	μB per atom

No. 7
## Be4InPb (PBE-GGA)

Data for Be4InPb after structural relaxation.

a b c (Å): 7.0941 7.0941 7.0941
angles (deg): 90.00 90.00 90.00
With the nearest neighbours (Å) after each atom.
Space group F-43m (No. 216)
One atom of each set of equivalent atoms:
Be1 0.1230 0.1230 0.1230  6 Be 2.47-2.55
In1 0.2500 0.2500 0.7500  12 Be 2.94, 4 Pb 3.07
Pb1 0.0000 0.0000 0.5000  12 Be 2.95, 4 In 3.07

Output
formation energy	611	meV per atom
spin magnetization	0.00	μB per atom

No. 8
## MgMn2Si (PBE-GGA)

Data for MgMn2Si after structural relaxation.

a b c (Å): 2.7469 2.7469 25.4208
angles (deg): 90.00 90.00 120.00
With the nearest neighbours (Å) after each atom.
Space group R-3m (No. 166, hexagonal axes)
One atom of each set of equivalent atoms:
Mg1 0.0000 0.0000 0.0000  6 Mg 2.75, 6 Mn 2.82
Mn1 0.0000 0.0000 0.2418  3 Si 2.48, 6 Mn 2.75
Si1 0.0000 0.0000 0.5000  6 Mn 2.48, 6 Si 2.75

Output
formation energy from raw total energies	0.17	eV/atom
spin magnetization	1.12	μB per atom

No. 9
## La2Pm2Ho (PBE-GGA)

Data for La2Pm2Ho after structural relaxation.

a b c (Å): 9.7338 8.2442 9.4487
angles (deg): 90.00 113.82 90.00
With the nearest neighbours (Å) after each atom.
Space group C2/c (No. 15)
One atom of each set of equivalent atoms:
La1 0.1162 0.1670 0.1483  5 Pm 3.37-3.73, 3 Ho 3.49-3.63, 1 La 3.51
Pm1 0.1645 0.4402 0.4774  5 La 3.37-3.73, 2 Pm 3.49-3.54, 1 Ho 3.51
Ho1 0.0000 0.2190 0.7500  6 La 3.49-3.63, 2 Pm 3.51

Output
formation energy	107	meV per atom
spin magnetization	0.00	μB per atom

No. 10
## Sm4Y15In (PBE-GGA)

Data for Sm4Y15In after structural relaxation.

a b c (Å): 5.0113 5.0113 25.4127
angles (deg): 90.00 90.00 90.00
With the nearest neighbours (Å) after each atom.
Space group P4/mmm (No. 123)
One atom of each set of equivalent atoms:
Sm1 0.0000 0.0000 0.1012  12 Y 3.54-3.59
Sm2 0.0000 0.0000 0.3022  12 Y 3.54-3.61
Y1 0.0000 0.5000 0.0000  8 Y 3.54-3.59, 4 Sm 3.59
Y2 0.0000 0.5000 0.2021  8 Y 3.54-3.63, 4 Sm 3.57-3.59
Y3 0.0000 0.5000 0.4045  2 In 3.49, 8 Y 3.49-3.55, 2 Sm 3.61
Y4 0.5000 0.5000 0.1014  4 Sm 3.54, 8 Y 3.58-3.59
Y5 0.5000 0.5000 0.3055  4 Sm 3.54, 8 Y 3.55-3.63
Y6 0.5000 0.5000 0.5000  8 Y 3.49, 4 In 3.54
In1 0.0000 0.0000 0.5000  12 Y 3.49-3.54

Output
formation energy	-30	meV per atom
spin magnetization	0.02	μB per atom

Among the records above, which one has the highest spin magnetization? MgMn2Si